Record 1
{"formula": "LiIrRu", "functional": "PBE", "state": "relaxed", "polymorph_energy_mev_per_atom": 1935, "dos_at_fermi_per_ev_cell": 6.19, "volume_a3_per_atom": 25.49, "final_energy_ev_per_atom": -4.766, "lattice": [[4.4013, 0.0000, 0.0000], [-2.2007, 3.8117, 0.0000], [0.0000, 0.0000, 9.1174]], "species": ["Li", "Li", "Ir", "Ir", "Ru", "Ru"], "frac_coords": [[0.3333, 0.6667, 0.2500], [0.6667, 0.3333, 0.7500], [0.0000, 0.0000, 0.0000], [0.0000, 0.0000, 0.5000], [0.0000, 0.0000, 0.2500], [0.0000, 0.0000, 0.7500]]}

***

Record 2
{"formula": "PrEr3Tm2", "functional": "PBE", "state": "relaxed", "polymorph_energy_mev_per_atom": 125, "dos_at_fermi_per_ev_cell": 18.09, "volume_a3_per_atom": 32.07, "final_energy_ev_per_atom": -4.445, "lattice": [[11.4257, -1.7459, 0.0000], [11.4257, 1.7459, 0.0000], [-3.2292, 0.0000, 9.6450]], "species": ["Pr", "Pr", "Er", "Er", "Er", "Er", "Er", "Er", "Tm", "Tm", "Tm", "Tm"], "frac_coords": [[0.1826, 0.1826, 0.0411], [0.8174, 0.8174, 0.9589], [0.0595, 0.0595, 0.4429], [0.1956, 0.1956, 0.7146], [0.4328, 0.4328, 0.2391], [0.5672, 0.5672, 0.7609], [0.8044, 0.8044, 0.2854], [0.9405, 0.9405, 0.5571], [0.1932, 0.1932, 0.3749], [0.4320, 0.4320, 0.8571], [0.5680, 0.5680, 0.1429], [0.8068, 0.8068, 0.6251]]}

***

Record 3
{"formula": "Tb3NdTm6", "functional": "PBE", "state": "relaxed", "polymorph_energy_mev_per_atom": 0, "dos_at_fermi_per_ev_cell": 27.26, "volume_a3_per_atom": 31.63, "final_energy_ev_per_atom": -4.400, "lattice": [[5.4707, -9.4006, 0.0000], [5.4707, 9.4006, 0.0000], [0.0000, 0.0000, 6.1505]], "species": ["Tb", "Tb", "Tb", "Tb", "Tb", "Tb", "Nd", "Nd", "Tm", "Tm", "Tm", "Tm", "Tm", "Tm", "Tm", "Tm", "Tm", "Tm", "Tm", "Tm"], "frac_coords": [[0.1081, 0.8919, 0.5000], [0.2171, 0.4331, 0.1125], [0.4331, 0.2171, 0.6125], [0.5669, 0.7829, 0.1125], [0.7829, 0.5669, 0.6125], [0.8919, 0.1081, 0.0000], [0.2910, 0.7090, 0.4085], [0.7090, 0.2910, 0.9085], [0.0443, 0.4669, 0.7062], [0.1175, 0.2135, 0.5449], [0.2114, 0.7886, 0.9310], [0.2135, 0.1175, 0.0449], [0.4522, 0.5478, 0.6541], [0.4669, 0.0443, 0.2062], [0.5331, 0.9557, 0.7062], [0.5478, 0.4522, 0.1541], [0.7865, 0.8825, 0.5449], [0.7886, 0.2114, 0.4310], [0.8825, 0.7865, 0.0449], [0.9557, 0.5331, 0.2062]]}